No. 1
## La3TcH (SCAN)

Data for a crystal of La3TcH relaxed with PBEsol.

V = 159.44 Å³/cell
SG = Pm-3m
VASP energy = -33.176 eV/atom

Cell: 5.4225 5.4225 5.4225 Å, 90.00 90.00 90.00°
Sites, in units of the cell vectors:
La: 0.0000 0.5000 0.0000
La: 0.5000 0.0000 0.0000
La: 0.0000 0.0000 0.5000
H: 0.5000 0.5000 0.5000
Tc: 0.0000 0.0000 0.0000



No. 2
## ZnCu2Si (SCAN)

Data for a crystal of ZnCu2Si relaxed with PBEsol.

V = 49.24 Å³/cell
SG = R-3m
VASP energy = -13.458 eV/atom

Cell: 2.6557 2.6557 8.2063 Å, 80.69 80.69 60.00°
Sites, in units of the cell vectors:
Si: 0.5000 0.5000 0.5000
Cu: 0.2472 0.2472 0.2584
Cu: 0.7528 0.7528 0.7416
Zn: 0.0000 0.0000 0.0000



No. 3
## Y2MnBr (SCAN)

Data for a crystal of Y2MnBr relaxed with PBEsol.

V = 87.31 Å³/cell
SG = P4/mmm
energy relative to the lowest polymorph listed for this composition = 0.0 kJ/mol of atoms

Cell: 3.3393 3.3393 7.8299 Å, 90.00 90.00 90.00°
Last column: magnetic moment on the atom in μB.
Sites, in units of the cell vectors:
Br: 0.5000 0.5000 0.0000  -0.01
Mn: 0.5000 0.5000 0.5000  3.29
Y: 0.0000 0.0000 0.7060  -0.40
Y: 0.0000 0.0000 0.2940  -0.40



No. 4
## TaFeOs3 (SCAN)

Data for a crystal of TaFeOs3 relaxed with PBEsol.

V = 81.13 Å³/cell
SG = Pm-3m
formation enthalpy at 0 K = 1.531 eV per atom

Cell: 4.3291 4.3291 4.3291 Å, 90.00 90.00 90.00°
Last column: magnetic moment on the atom in μB.
Sites, in units of the cell vectors:
Fe: 0.0000 0.0000 0.0000  1.71
Os: 0.5000 0.0000 0.0000  0.04
Os: 0.0000 0.5000 0.0000  0.04
Os: 0.0000 0.0000 0.5000  0.04
Ta: 0.5000 0.5000 0.5000  0.37



No. 5
## Li6Al7 (SCAN)

Data for a crystal of Li6Al7 relaxed with PBEsol.

V = 229.48 Å³/cell
SG = R-3m
formation enthalpy at 0 K = -0.086 eV per atom

Cell: 5.3531 5.3531 9.7499 Å, 74.07 74.07 60.00°
Sites, in units of the cell vectors:
Li: 0.1517 0.1517 0.5449
Li: 0.3345 0.3345 0.9965
Li: 0.0496 0.0496 0.8511
Li: 0.8483 0.8483 0.4551
Li: 0.6655 0.6655 0.0035
Li: 0.9504 0.9504 0.1489
Al: 0.9159 0.4115 0.2611
Al: 0.5000 0.5000 0.5000
Al: 0.0841 0.5885 0.7389
Al: 0.4115 0.9159 0.2611
Al: 0.4115 0.4115 0.2611
Al: 0.5885 0.0841 0.7389
Al: 0.5885 0.5885 0.7389



No. 6
## KTa2Mo (SCAN)

Data for a crystal of KTa2Mo relaxed with PBEsol.

V = 82.20 Å³/cell
SG = Imm2
formation enthalpy at 0 K = 1.325 eV per atom

Cell: 2.9440 5.4983 5.9594 Å, 117.47 104.30 90.00°
Sites, in units of the cell vectors:
Ta: 0.7195 0.2195 0.4390
Ta: 0.9851 0.9851 0.9702
K: 0.5117 0.5117 0.0234
Mo: 0.2837 0.7837 0.5673



No. 7
## MgBSbRh2 (SCAN)

Data for a crystal of MgBSbRh2 relaxed with PBEsol.

V = 99.54 Å³/cell
SG = P4/mmm
VASP energy = -21.536 eV/atom

Cell: 4.5129 4.5129 4.8873 Å, 90.00 90.00 90.00°
Sites, in units of the cell vectors:
Sb: 0.0000 0.0000 0.5000
B: 0.5000 0.5000 0.5000
Rh: 0.0000 0.5000 0.0000
Rh: 0.5000 0.0000 0.0000
Mg: 0.0000 0.0000 0.0000



No. 8
## La2YMn (SCAN)

Data for a crystal of La2YMn relaxed with PBEsol.

V = 105.95 Å³/cell
SG = Immm
energy relative to the lowest polymorph listed for this composition = 3.2 kJ/mol of atoms
formation enthalpy at 0 K = 0.138 eV per atom

Cell: 3.6284 5.4774 6.2621 Å, 115.93 106.84 90.00°
Last column: magnetic moment on the atom in μB.
Sites, in units of the cell vectors:
Mn: 0.5000 0.0000 0.0000  3.22
La: 0.1970 0.1970 0.3941  -0.20
La: 0.8030 0.8030 0.6059  -0.20
Y: 0.0000 0.5000 0.0000  -0.29



The N(E_F) results, record by record, are as follows: 3.9; 1.1; 3.6; 5.0; 4.0; 2.9; 6.0; 4.8 states/eV per cell.